1.
First-principles (PBE) data for a relaxed La2OsCl crystal, as listed in Alexandria via LeMat-Bulk.

Lattice parameters (Å, degrees): 5.950 5.950 4.866 90.00 90.00 35.50
Sites, in units of the cell vectors:
1 Cl 0.256 0.256 0.125
2 Os 0.512 0.512 0.625
3 La 0.995 0.995 0.125
4 La 0.737 0.737 0.625

Computed properties:
Formation energy from raw total energies, eV/atom: -0.701
Energy relative to the lowest polymorph listed for this composition, meV per atom: 204
SG: Amm2, No. 38
Total magnetization, μB per cell: 0.00

=====

2.
First-principles (PBE) data for a relaxed LaOsCl2 crystal, as listed in Alexandria via LeMat-Bulk.

Lattice parameters (Å, degrees): 4.423 4.423 4.123 90.00 90.00 90.00
Each line ends with the local moment (μB).
Sites, in units of the cell vectors:
1 Cl 0.000 0.000 0.000  0.02
2 Cl 0.500 0.500 0.000  0.02
3 Os 0.000 0.500 0.500  0.67
4 La 0.500 0.000 0.500  -0.03

Computed properties:
Formation energy from raw total energies, eV/atom: -0.140
Energy relative to the lowest polymorph listed for this composition, meV per atom: 537
SG: P4/mmm, No. 123
Total magnetization, μB per cell: 0.77

=====

3.
First-principles (PBE) data for a relaxed La3OsCl crystal, as listed in Alexandria via LeMat-Bulk.

Lattice parameters (Å, degrees): 8.237 8.203 8.203 92.14 89.97 89.97
Sites, in units of the cell vectors:
1 La 0.500 0.855 0.145
2 La 0.000 0.855 0.145
3 La 0.500 0.145 0.855
4 La 0.000 0.145 0.855
5 La 0.750 0.500 0.000
6 La 0.750 0.000 0.500
7 La 0.250 0.500 0.000
8 La 0.250 0.000 0.500
9 La 0.500 0.692 0.692
10 La 0.000 0.308 0.308
11 La 0.500 0.308 0.308
12 La 0.000 0.692 0.692
13 Os 0.750 0.865 0.865
14 Os 0.750 0.135 0.135
15 Os 0.250 0.135 0.135
16 Os 0.250 0.865 0.865
17 Cl 0.250 0.647 0.353
18 Cl 0.750 0.353 0.647
19 Cl 0.250 0.353 0.647
20 Cl 0.750 0.647 0.353

Computed properties:
Formation energy from raw total energies, eV/atom: -0.715
Energy relative to the lowest polymorph listed for this composition, meV per atom: 0
SG: Cmmm, No. 65
Total magnetization, μB per cell: 0.00

=====

Number 1: D(E_F) 0.7283 states/eV/atom. Number 2: D(E_F) 0.8666 states/eV/atom. Number 3: D(E_F) 0.7300 states/eV/atom.